# YAlCl

YAlCl after structural relaxation (PBE, Alexandria via LeMat-Bulk).

Values from the calculation:
As for the raw formation energy: -0.254 eV per atom. As for the symmetry: F-43m.

Cell: 4.667 4.667 4.667 Å, 60.00 60.00 60.00°
Positions (direct):
Y: 0.000 0.000 0.000
Al: 0.500 0.500 0.500
Cl: 0.750 0.750 0.750